(1)
NbCd3Au, optimized geometry, DFT GGA-PBE; M_tot = 3.59 μB/cell; space group = Pm-3m, No. 221; energy of formation = 0.848 eV/atom; energy above the lowest structure with this stoichiometry = 0 meV per atom
1.0
5.170 0.000 0.000
0.000 5.170 0.000
0.000 0.000 5.170
Nb Cd Au
1 3 1
Cartesian
0.000 0.000 0.000 Nb
0.000 2.585 2.585 Cd
2.585 0.000 2.585 Cd
2.585 2.585 0.000 Cd
2.585 2.585 2.585 Au

***

(2)
Nb3CdAu, optimized geometry, DFT GGA-PBE; M_tot = 0.00 μB/cell; space group = Pm-3m, No. 221; energy of formation = 1.414 eV/atom; energy above the lowest structure with this stoichiometry = 0 meV per atom
1.0
4.989 0.000 0.000
0.000 4.989 0.000
0.000 0.000 4.989
Nb Cd Au
3 1 1
Cartesian
0.000 0.000 2.495 Nb
0.000 2.495 0.000 Nb
2.495 0.000 0.000 Nb
2.495 2.495 2.495 Cd
0.000 0.000 0.000 Au

***

(3)
NbCdAu2, optimized geometry, DFT GGA-PBE; M_tot = 0.00 μB/cell; space group = I-42d, No. 122; energy of formation = 0.379 eV/atom
1.0
7.546 0.000 0.000
0.000 7.546 0.000
0.000 0.000 5.826
Nb Cd Au
4 4 8
Cartesian
0.000 0.000 0.000 Nb
0.000 3.773 1.457 Nb
3.773 0.000 4.370 Nb
3.773 3.773 2.913 Nb
0.000 0.000 2.913 Cd
0.000 3.773 4.370 Cd
3.773 0.000 1.457 Cd
3.773 3.773 0.000 Cd
1.803 1.886 0.728 Au
1.886 5.576 2.185 Au
1.886 5.743 5.098 Au
1.970 1.886 3.641 Au
5.576 5.659 3.641 Au
5.659 1.803 5.098 Au
5.659 1.970 2.185 Au
5.743 5.659 0.728 Au

***

(4)
NbCdAu2, optimized geometry, DFT GGA-PBE; M_tot = 0.00 μB/cell; space group = P4/mmm, No. 123; energy of formation = 0.001 eV/atom
1.0
5.076 0.000 0.000
0.000 5.076 0.000
0.000 0.000 2.913
Nb Cd Au
1 1 2
Cartesian
0.000 0.000 0.000 Nb
2.538 2.538 0.000 Cd
0.000 2.538 1.457 Au
2.538 0.000 1.457 Au